(1)
{"formula": "Pu3Sb8", "functional": "PBE-GGA", "state": "relaxed", "cell": [[4.267, 0.000, 0.000], [-2.133, 8.118, 3.921], [0.000, 10.193, 13.618]], "species": ["Pu", "Sb", "Sb", "Pu", "Pu", "Sb", "Sb", "Sb", "Sb", "Sb", "Sb"], "fractional_positions": [[0.051, 0.103, 0.669], [0.420, 0.840, 0.220], [0.329, 0.658, 0.572], [0.949, 0.897, 0.331], [0.000, 0.000, 0.000], [0.749, 0.499, 0.076], [0.193, 0.386, 0.247], [0.580, 0.160, 0.780], [0.807, 0.614, 0.753], [0.671, 0.342, 0.428], [0.251, 0.501, 0.924]], "dft_energy_ev_per_fu": -80.1, "raw_formation_energy_ev_per_atom": -0.37, "dos_at_fermi_per_ev_cell": 28.39, "crystal_system": "monoclinic", "sg": "C2/m", "magmom_total_mub_per_atom": 1.47}

(2)
{"formula": "PuSb5", "functional": "PBE-GGA", "state": "relaxed", "cell": [[-0.882, -2.573, -3.565], [4.298, 0.144, -1.168], [-0.690, -6.853, 5.118]], "species": ["Pu", "Sb", "Sb", "Sb", "Sb", "Sb"], "fractional_positions": [[0.000, 0.000, 0.000], [0.500, 0.500, 0.000], [0.500, 0.152, 0.303], [0.000, 0.653, 0.306], [0.500, 0.848, 0.697], [0.000, 0.347, 0.694]], "dft_energy_ev_per_fu": -36.0, "raw_formation_energy_ev_per_atom": -0.18, "dos_at_fermi_per_ev_cell": 10.71, "crystal_system": "orthorhombic", "sg": "Cmmm", "magmom_total_mub_per_atom": 0.91}

(3)
{"formula": "Pu5Sb", "functional": "PBE-GGA", "state": "relaxed", "cell": [[4.105, 0.000, 0.000], [0.000, 4.951, 0.000], [0.000, -2.476, 6.719]], "species": ["Pu", "Pu", "Pu", "Sb", "Pu", "Pu"], "fractional_positions": [[0.000, 0.664, 0.328], [0.500, 0.233, 0.466], [0.500, 0.767, 0.534], [0.000, 0.000, 0.000], [0.000, 0.336, 0.672], [0.500, 0.500, 0.000]], "dft_energy_ev_per_fu": -76.2, "raw_formation_energy_ev_per_atom": -0.07, "dos_at_fermi_per_ev_cell": 13.41, "crystal_system": "orthorhombic", "sg": "Cmmm", "magmom_total_mub_per_atom": 1.62}

(4)
{"formula": "Pu6Sb", "functional": "PBE-GGA", "state": "relaxed", "cell": [[-2.979, -2.866, -4.087], [5.634, 0.108, -1.427], [-0.652, -2.685, 5.115]], "species": ["Pu", "Pu", "Sb", "Pu", "Pu", "Pu", "Pu"], "fractional_positions": [[0.500, 0.750, 0.250], [0.750, 0.250, 0.500], [0.000, 0.000, 0.000], [0.250, 0.750, 0.500], [0.750, 0.500, 0.250], [0.500, 0.250, 0.750], [0.250, 0.500, 0.750]], "dft_energy_ev_per_fu": -87.6, "raw_formation_energy_ev_per_atom": 0.35, "dos_at_fermi_per_ev_cell": 13.94, "crystal_system": "cubic", "sg": "Im-3m", "magmom_total_mub_per_atom": 0.00}

(5)
{"formula": "PuSc2Sb", "functional": "PBE-GGA", "state": "relaxed", "cell": [[-4.342, 0.548, 0.133], [-0.080, -1.684, 4.322], [0.592, 4.284, 1.680]], "species": ["Sb", "Sc", "Sc", "Pu"], "fractional_positions": [[0.500, 0.500, 0.500], [0.000, 0.500, 0.000], [0.000, 0.000, 0.500], [0.500, 0.000, 0.000]], "dft_energy_ev_per_fu": -32.8, "raw_formation_energy_ev_per_atom": -0.41, "dos_at_fermi_per_ev_cell": 10.21, "crystal_system": "tetragonal", "sg": "P4/mmm", "magmom_total_mub_per_atom": 1.72}

(6)
{"formula": "PuScSb", "functional": "PBE-GGA", "state": "relaxed", "cell": [[5.061, 0.535, 0.970], [2.847, 4.218, 0.970], [0.197, 0.118, 8.042]], "species": ["Sc", "Pu", "Sc", "Sb", "Pu", "Sb"], "fractional_positions": [[0.321, 0.321, 0.133], [0.126, 0.126, 0.571], [0.679, 0.679, 0.867], [0.395, 0.395, 0.754], [0.874, 0.874, 0.429], [0.605, 0.605, 0.246]], "dft_energy_ev_per_fu": -26.1, "raw_formation_energy_ev_per_atom": -0.43, "dos_at_fermi_per_ev_cell": 15.03, "crystal_system": "monoclinic", "sg": "C2/m", "magmom_total_mub_per_atom": 2.07}

(7)
{"formula": "PuScSb3", "functional": "PBE-GGA", "state": "relaxed", "cell": [[-5.611, -1.309, 3.062], [2.933, -3.753, 3.771], [2.196, 10.095, 8.339]], "species": ["Sb", "Sc", "Sb", "Sb", "Sb", "Sc", "Pu", "Pu", "Sb", "Sb", "Pu", "Sb", "Sc", "Sb", "Sb", "Sb", "Sb", "Sc", "Pu", "Sb"], "fractional_positions": [[0.250, 0.498, 0.749], [0.000, 0.750, 0.903], [0.750, 0.502, 0.251], [0.750, 0.002, 0.749], [0.250, 0.156, 0.919], [0.500, 0.250, 0.097], [0.750, 0.996, 0.319], [0.750, 0.496, 0.681], [0.500, 0.250, 0.498], [0.250, 0.656, 0.081], [0.250, 0.004, 0.681], [0.500, 0.750, 0.502], [0.000, 0.250, 0.097], [0.750, 0.344, 0.919], [0.750, 0.844, 0.081], [0.000, 0.750, 0.502], [0.000, 0.250, 0.498], [0.500, 0.750, 0.903], [0.250, 0.504, 0.319], [0.250, 0.998, 0.251]], "dft_energy_ev_per_fu": -36.0, "raw_formation_energy_ev_per_atom": -0.59, "dos_at_fermi_per_ev_cell": 52.59, "crystal_system": "orthorhombic", "sg": "Pbcm", "magmom_total_mub_per_atom": 1.08}

(8)
{"formula": "PuScSb", "functional": "PBE-GGA", "state": "relaxed", "cell": [[-2.003, 5.002, 0.769], [-0.735, -0.783, 3.183], [7.481, 3.516, 0.821]], "species": ["Pu", "Sc", "Sc", "Sb", "Pu", "Sb"], "fractional_positions": [[0.489, 0.055, 0.111], [0.858, 0.695, 0.389], [0.088, 0.345, 0.689], [0.996, 0.520, 0.040], [0.376, 0.664, 0.327], [0.570, 0.853, 0.707]], "dft_energy_ev_per_fu": -25.4, "raw_formation_energy_ev_per_atom": -0.19, "dos_at_fermi_per_ev_cell": 9.27, "crystal_system": "monoclinic", "sg": "Cm", "magmom_total_mub_per_atom": 0.05}

(9)
{"formula": "PuSc5Sb4", "functional": "PBE-GGA", "state": "relaxed", "cell": [[5.774, 0.000, 0.000], [0.000, 9.582, 0.000], [0.000, 0.000, 9.955]], "species": ["Sb", "Sc", "Sb", "Sc", "Sb", "Sb", "Sc", "Sb", "Sc", "Sc", "Sc", "Sc", "Sc", "Pu", "Sb", "Sb", "Sc", "Sb", "Pu", "Sc"], "fractional_positions": [[0.001, 0.000, 0.333], [0.502, 0.500, 0.000], [0.500, 0.311, 0.500], [0.249, 0.750, 0.750], [0.999, 0.500, 0.167], [0.001, 0.000, 0.667], [0.249, 0.250, 0.250], [0.500, 0.811, 0.000], [0.751, 0.750, 0.250], [0.249, 0.250, 0.750], [0.751, 0.250, 0.250], [0.751, 0.250, 0.750], [0.498, 0.000, 0.500], [0.999, 0.500, 0.500], [0.500, 0.189, 0.000], [0.500, 0.689, 0.500], [0.249, 0.750, 0.250], [0.999, 0.500, 0.833], [0.001, 0.000, 0.000], [0.751, 0.750, 0.750]], "dft_energy_ev_per_fu": -67.1, "raw_formation_energy_ev_per_atom": -0.46, "dos_at_fermi_per_ev_cell": 38.42, "crystal_system": "orthorhombic", "sg": "Pmmn", "magmom_total_mub_per_atom": 0.79}

(10)
{"formula": "Pu2ScSb", "functional": "PBE-GGA", "state": "relaxed", "cell": [[4.971, 0.000, 0.000], [0.000, 4.425, 0.000], [0.000, 0.000, 4.425]], "species": ["Sb", "Pu", "Sc", "Pu"], "fractional_positions": [[0.500, 0.500, 0.500], [0.000, 0.000, 0.500], [0.500, 0.000, 0.000], [0.000, 0.500, 0.000]], "dft_energy_ev_per_fu": -40.8, "raw_formation_energy_ev_per_atom": -0.41, "dos_at_fermi_per_ev_cell": 10.90, "crystal_system": "tetragonal", "sg": "P4/mmm", "magmom_total_mub_per_atom": 2.96}

(11)
{"formula": "PuSc2Sb", "functional": "PBE-GGA", "state": "relaxed", "cell": [[3.343, 0.000, 0.000], [1.672, 2.895, 0.000], [1.672, 0.965, 10.092]], "species": ["Sb", "Sc", "Pu", "Sc"], "fractional_positions": [[0.000, 0.000, 0.000], [0.747, 0.747, 0.760], [0.500, 0.500, 0.500], [0.253, 0.253, 0.240]], "dft_energy_ev_per_fu": -31.8, "raw_formation_energy_ev_per_atom": -0.18, "dos_at_fermi_per_ev_cell": 8.34, "crystal_system": "trigonal", "sg": "R-3m", "magmom_total_mub_per_atom": 1.42}

(12)
{"formula": "PuSc2Sb3", "functional": "PBE-GGA", "state": "relaxed", "cell": [[4.168, -0.001, -0.950], [-0.217, 4.162, -0.950], [-0.038, -0.039, 9.453]], "species": ["Sc", "Sb", "Pu", "Sc", "Sb", "Sb"], "fractional_positions": [[0.768, 0.770, 0.542], [0.263, 0.264, 0.531], [0.434, 0.436, 0.874], [0.100, 0.101, 0.206], [0.934, 0.936, 0.874], [0.606, 0.607, 0.217]], "dft_energy_ev_per_fu": -44.1, "raw_formation_energy_ev_per_atom": -0.79, "dos_at_fermi_per_ev_cell": 13.31, "crystal_system": "tetragonal", "sg": "I4/mmm", "magmom_total_mub_per_atom": 0.85}

(13)
{"formula": "SmPuSc2Sb4", "functional": "PBE-GGA", "state": "relaxed", "cell": [[-4.061, 0.204, 1.451], [1.048, -6.284, 3.816], [2.528, 1.622, 6.848]], "species": ["Sb", "Sb", "Sb", "Sc", "Sc", "Pu", "Sm", "Sb"], "fractional_positions": [[0.000, 0.232, 0.254], [0.000, 0.768, 0.746], [0.500, 0.230, 0.758], [0.500, 0.000, 0.500], [0.000, 0.000, 0.000], [0.500, 0.500, 0.000], [0.000, 0.500, 0.500], [0.500, 0.770, 0.242]], "dft_energy_ev_per_fu": -55.4, "raw_formation_energy_ev_per_atom": -0.90, "dos_at_fermi_per_ev_cell": 16.07, "crystal_system": "monoclinic", "sg": "P2/m", "magmom_total_mub_per_atom": 0.64}

(14)
{"formula": "SmPu2ScSb4", "functional": "PBE-GGA", "state": "relaxed", "cell": [[-0.813, -4.263, 0.614], [6.691, -1.726, -3.131], [0.855, 0.910, 7.454]], "species": ["Sb", "Sb", "Pu", "Sb", "Sb", "Sm", "Sc", "Pu"], "fractional_positions": [[0.500, 0.237, 0.241], [0.000, 0.241, 0.752], [0.500, 0.000, 0.500], [0.500, 0.763, 0.759], [0.000, 0.759, 0.248], [0.500, 0.500, 0.000], [0.000, 0.000, 0.000], [0.000, 0.500, 0.500]], "dft_energy_ev_per_fu": -62.7, "raw_formation_energy_ev_per_atom": -0.81, "dos_at_fermi_per_ev_cell": 27.35, "crystal_system": "monoclinic", "sg": "P2/m", "magmom_total_mub_per_atom": 1.26}

(15)
{"formula": "TbPuSc2Sb4", "functional": "PBE-GGA", "state": "relaxed", "cell": [[4.300, 0.000, 0.000], [0.000, 7.401, -0.135], [0.000, 2.615, 6.964]], "species": ["Sb", "Tb", "Sb", "Sc", "Sc", "Pu", "Sb", "Sb"], "fractional_positions": [[0.500, 0.234, 0.755], [0.000, 0.500, 0.500], [0.500, 0.766, 0.245], [0.500, 0.000, 0.500], [0.000, 0.000, 0.000], [0.500, 0.500, 0.000], [0.000, 0.767, 0.744], [0.000, 0.233, 0.256]], "dft_energy_ev_per_fu": -55.3, "raw_formation_energy_ev_per_atom": -0.89, "dos_at_fermi_per_ev_cell": 16.06, "crystal_system": "monoclinic", "sg": "P2/m", "magmom_total_mub_per_atom": 0.64}

(16)
{"formula": "TbPu2ScSb4", "functional": "PBE-GGA", "state": "relaxed", "cell": [[4.370, 0.000, 0.000], [0.000, 7.569, 0.136], [0.000, -2.638, 7.031]], "species": ["Tb", "Sb", "Pu", "Sb", "Pu", "Sc", "Sb", "Sb"], "fractional_positions": [[0.500, 0.500, 0.000], [0.000, 0.756, 0.244], [0.000, 0.500, 0.500], [0.000, 0.244, 0.756], [0.500, 0.000, 0.500], [0.000, 0.000, 0.000], [0.500, 0.239, 0.238], [0.500, 0.761, 0.762]], "dft_energy_ev_per_fu": -62.4, "raw_formation_energy_ev_per_atom": -0.79, "dos_at_fermi_per_ev_cell": 32.41, "crystal_system": "monoclinic", "sg": "P2/m", "magmom_total_mub_per_atom": 0.01}

(17)
{"formula": "PuScSbTe", "functional": "PBE-GGA", "state": "relaxed", "cell": [[4.301, 0.000, 0.000], [2.151, 3.725, 0.000], [2.151, 1.242, 7.039]], "species": ["Te", "Sb", "Sc", "Pu"], "fractional_positions": [[0.756, 0.756, 0.733], [0.244, 0.244, 0.269], [0.502, 0.502, 0.493], [0.998, 0.998, 0.005]], "dft_energy_ev_per_fu": -31.8, "raw_formation_energy_ev_per_atom": -0.97, "dos_at_fermi_per_ev_cell": 12.56, "crystal_system": "trigonal", "sg": "R3m", "magmom_total_mub_per_atom": 1.42}

(18)
{"formula": "PuThSc2Sb4", "functional": "PBE-GGA", "state": "relaxed", "cell": [[4.344, 0.000, 0.000], [0.000, 7.436, -0.121], [0.000, 2.646, 7.032]], "species": ["Th", "Sc", "Sc", "Sb", "Sb", "Sb", "Pu", "Sb"], "fractional_positions": [[0.500, 0.500, 0.000], [0.000, 0.000, 0.000], [0.500, 0.000, 0.500], [0.000, 0.227, 0.260], [0.500, 0.230, 0.754], [0.000, 0.773, 0.740], [0.000, 0.500, 0.500], [0.500, 0.770, 0.246]], "dft_energy_ev_per_fu": -57.8, "raw_formation_energy_ev_per_atom": -0.86, "dos_at_fermi_per_ev_cell": 16.23, "crystal_system": "monoclinic", "sg": "P2/m", "magmom_total_mub_per_atom": 0.68}

(19)
{"formula": "PuTh2ScSb4", "functional": "PBE-GGA", "state": "relaxed", "cell": [[4.437, 0.000, 0.000], [0.000, 7.590, -0.121], [0.000, 2.699, 7.167]], "species": ["Sc", "Sb", "Sb", "Pu", "Sb", "Th", "Th", "Sb"], "fractional_positions": [[0.500, 0.500, 0.000], [0.000, 0.267, 0.237], [0.500, 0.262, 0.753], [0.000, 0.500, 0.500], [0.500, 0.738, 0.247], [0.000, 0.000, 0.000], [0.500, 0.000, 0.500], [0.000, 0.733, 0.763]], "dft_energy_ev_per_fu": -58.8, "raw_formation_energy_ev_per_atom": -0.85, "dos_at_fermi_per_ev_cell": 14.36, "crystal_system": "monoclinic", "sg": "P2/m", "magmom_total_mub_per_atom": 0.72}

(20)
{"formula": "PuScTlSb", "functional": "PBE-GGA", "state": "relaxed", "cell": [[-0.209, -1.432, 5.032], [3.086, -3.847, 1.757], [3.992, 1.103, 3.204]], "species": ["Tl", "Sb", "Pu", "Sc"], "fractional_positions": [[0.000, 0.000, 0.000], [0.500, 0.500, 0.500], [0.250, 0.250, 0.250], [0.750, 0.750, 0.750]], "dft_energy_ev_per_fu": -28.4, "raw_formation_energy_ev_per_atom": -0.32, "dos_at_fermi_per_ev_cell": 11.34, "crystal_system": "cubic", "sg": "F-43m", "magmom_total_mub_per_atom": 1.60}

(21)
{"formula": "Tm2PuScSb4", "functional": "PBE-GGA", "state": "relaxed", "cell": [[-1.708, 2.439, 3.142], [3.247, -4.341, 5.134], [4.626, 5.586, -1.822]], "species": ["Tm", "Sb", "Sb", "Sc", "Pu", "Sb", "Sb", "Tm"], "fractional_positions": [[0.000, 0.500, 0.500], [0.500, 0.241, 0.244], [0.500, 0.759, 0.756], [0.000, 0.000, 0.000], [0.500, 0.500, 0.000], [0.000, 0.243, 0.751], [0.000, 0.757, 0.249], [0.500, 0.000, 0.500]], "dft_energy_ev_per_fu": -53.3, "raw_formation_energy_ev_per_atom": -0.90, "dos_at_fermi_per_ev_cell": 15.80, "crystal_system": "monoclinic", "sg": "P2/m", "magmom_total_mub_per_atom": 0.63}

(22)
{"formula": "TmPuSc2Sb4", "functional": "PBE-GGA", "state": "relaxed", "cell": [[4.281, 0.000, 0.000], [0.000, 7.401, 0.129], [0.000, -2.584, 6.918]], "species": ["Tm", "Sb", "Pu", "Sc", "Sb", "Sc", "Sb", "Sb"], "fractional_positions": [[0.000, 0.000, 0.000], [0.000, 0.757, 0.265], [0.500, 0.500, 0.000], [0.000, 0.500, 0.500], [0.000, 0.243, 0.735], [0.500, 0.000, 0.500], [0.500, 0.748, 0.737], [0.500, 0.252, 0.263]], "dft_energy_ev_per_fu": -54.9, "raw_formation_energy_ev_per_atom": -0.87, "dos_at_fermi_per_ev_cell": 15.70, "crystal_system": "monoclinic", "sg": "P2/m", "magmom_total_mub_per_atom": 0.64}

(23)
{"formula": "PuSc2USb4", "functional": "PBE-GGA", "state": "relaxed", "cell": [[-1.575, 0.572, 3.930], [-2.071, -7.092, 0.202], [6.925, 0.620, 2.685]], "species": ["Pu", "Sc", "Sb", "Sb", "Sb", "Sc", "U", "Sb"], "fractional_positions": [[0.000, 0.000, 0.000], [0.500, 0.000, 0.500], [0.500, 0.743, 0.734], [0.000, 0.246, 0.734], [0.500, 0.257, 0.266], [0.000, 0.500, 0.500], [0.500, 0.500, 0.000], [0.000, 0.754, 0.266]], "dft_energy_ev_per_fu": -60.1, "raw_formation_energy_ev_per_atom": -0.67, "dos_at_fermi_per_ev_cell": 16.41, "crystal_system": "monoclinic", "sg": "P2/m", "magmom_total_mub_per_atom": 0.97}

(24)
{"formula": "YPuSc2Sb4", "functional": "PBE-GGA", "state": "relaxed", "cell": [[-1.954, 0.152, -3.822], [-3.134, -6.572, 1.341], [-6.540, 1.014, 3.384]], "species": ["Sc", "Pu", "Sb", "Y", "Sc", "Sb", "Sb", "Sb"], "fractional_positions": [[0.000, 0.000, 0.000], [0.500, 0.500, 0.000], [0.500, 0.234, 0.755], [0.000, 0.500, 0.500], [0.500, 0.000, 0.500], [0.500, 0.766, 0.245], [0.000, 0.233, 0.256], [0.000, 0.767, 0.744]], "dft_energy_ev_per_fu": -57.1, "raw_formation_energy_ev_per_atom": -0.90, "dos_at_fermi_per_ev_cell": 15.94, "crystal_system": "monoclinic", "sg": "P2/m", "magmom_total_mub_per_atom": 0.64}

(25)
{"formula": "PuZr2ScSb4", "functional": "PBE-GGA", "state": "relaxed", "cell": [[-1.545, 3.623, 1.448], [-5.467, -0.435, -4.746], [-1.969, -3.339, 6.254]], "species": ["Zr", "Sb", "Pu", "Sc", "Sb", "Zr", "Sb", "Sb"], "fractional_positions": [[0.500, 0.000, 0.500], [0.500, 0.755, 0.745], [0.500, 0.500, 0.000], [0.000, 0.000, 0.000], [0.000, 0.239, 0.740], [0.000, 0.500, 0.500], [0.000, 0.761, 0.260], [0.500, 0.245, 0.255]], "dft_energy_ev_per_fu": -59.8, "raw_formation_energy_ev_per_atom": -0.70, "dos_at_fermi_per_ev_cell": 13.79, "crystal_system": "monoclinic", "sg": "P2/m", "magmom_total_mub_per_atom": 0.71}